1.
An optimized crystal structure of ZrBeSi. Source: Alexandria, functional PBE.

Output
The calculation puts the energy relative to the lowest polymorph listed for this composition at 533 meV/atom. The raw formation energy comes out at -0.22 eV per atom.

a = 3.899 Å, b = 4.930 Å, c = 9.573 Å
α = 90.00°, β = 90.00°, γ = 90.00°
Space group Fmm2 (No. 42)
Symmetry-distinct sites (fractional):
Zr 0.000 0.000 0.000
Be 0.000 0.000 0.310
Si 0.000 0.000 0.698



2.
An optimized crystal structure of Sm2MgPb2. Source: Alexandria, functional PBE.

Output
The formation enthalpy at 0 K is -0.3978 eV per atom.

a = 4.671 Å, b = 6.641 Å, c = 9.429 Å
α = 90.00°, β = 90.00°, γ = 90.00°
Space group Immm (No. 71)
Symmetry-distinct sites (fractional):
Sm 0.000 0.000 0.202
Mg 0.000 0.500 0.000
Pb 0.000 0.269 0.500



3.
An optimized crystal structure of DyHo2ErIn4. Source: Alexandria, functional PBE.

Output
The formation enthalpy at 0 K is -0.4520 eV per atom.

a = 5.2922 Å, b = 5.2922 Å, c = 25.9863 Å
α = 90.00°, β = 90.00°, γ = 120.00°
Space group R-3m (No. 166, hexagonal axes)
Symmetry-distinct sites (fractional):
Dy 0.0000 0.0000 0.0000
Ho 0.0000 0.0000 0.2498
Er 0.0000 0.0000 0.5000
In 0.0000 0.0000 0.1253
In 0.0000 0.0000 0.3753



4.
An optimized crystal structure of Ce6CuOs. Source: Alexandria, functional PBE.

Output
The formation enthalpy at 0 K is -0.0565 eV per atom.

a = 4.911 Å, b = 4.911 Å, c = 15.875 Å
α = 90.00°, β = 90.00°, γ = 90.00°
Space group I4/mmm (No. 139)
Symmetry-distinct sites (fractional):
Ce 0.000 0.000 0.244
Ce 0.000 0.500 0.107
Cu 0.000 0.000 0.500
Os 0.000 0.000 0.000



5.
An optimized crystal structure of AlTlTe2. Source: Alexandria, functional PBE.

Output
The raw formation energy comes out at -0.18 eV per atom.

a = 4.611 Å, b = 3.847 Å, c = 7.898 Å
α = 90.00°, β = 100.25°, γ = 90.00°
Space group P2/m (No. 10)
Symmetry-distinct sites (fractional):
Al 0.000 0.000 0.000
Tl 0.500 0.000 0.500
Te 0.083 0.500 0.774



6.
An optimized crystal structure of Zn2CrW. Source: Alexandria, functional PBE.

Output
The formation enthalpy at 0 K is 0.1788 eV per atom. The calculation puts the energy relative to the lowest polymorph listed for this composition at 0 meV/atom.

a = 3.095 Å, b = 4.321 Å, c = 8.620 Å
α = 90.00°, β = 90.00°, γ = 90.00°
Space group Cmm2 (No. 35)
Symmetry-distinct sites (fractional):
Zn 0.000 0.000 0.000
Zn 0.000 0.500 0.259
Cr 0.000 0.500 0.759
W 0.000 0.000 0.523



Computed volume (A^3/atom) in order:
15.33; 29.25; 26.26; 23.93; 34.47; 14.41